[1]
A plane-wave DFT calculation with PBE was carried out for crystalline Pm8AgRh2 at its relaxed geometry.

Values from the calculation:
Electronic total energy: -5.296 eV/atom
Energy of formation: -0.25 eV per atom
Crystal system: monoclinic

a = 8.0397 Å, b = 8.0397 Å, c = 5.8102 Å
α = 99.02°, β = 99.02°, γ = 115.69°
Sites, in units of the cell vectors:
Pm1 0.0871 0.3365 0.5734
Pm2 0.2357 0.7643 0.0000
Pm3 0.3365 0.0871 0.5734
Pm4 0.3860 0.3860 0.1854
Pm5 0.6140 0.6140 0.8146
Pm6 0.6635 0.9129 0.4266
Pm7 0.7643 0.2357 0.0000
Pm8 0.9129 0.6635 0.4266
Ag1 0.0000 0.0000 0.0000
Rh1 0.2903 0.7097 0.5000
Rh2 0.7097 0.2903 0.5000

[2]
A plane-wave DFT calculation with PBE was carried out for crystalline SrPmPr2 at its relaxed geometry.

Values from the calculation:
Electronic total energy: -3.924 eV/atom
Energy of formation: 0.07 eV per atom
Crystal system: tetragonal

a = 3.7762 Å, b = 3.7762 Å, c = 10.9478 Å
α = 90.00°, β = 90.00°, γ = 90.00°
Sites, in units of the cell vectors:
Sr1 0.0000 0.0000 0.0000
Pm1 0.0000 0.0000 0.5000
Pr1 0.5000 0.5000 0.2748
Pr2 0.5000 0.5000 0.7252

The highest energy of formation belongs to which entry? SrPmPr2